No. 1
Here is Al2CuTe after structural relaxation from Alexandria via LeMat-Bulk. Energies are from GGA-PBE.

a b c (Å): 4.517 4.517 4.168
angles (deg): 90.00 90.00 106.02
Fractional coordinates of all 4 atoms:
Al 0.209 0.791 0.000
Al 0.791 0.209 0.000
Cu 0.000 0.000 0.500
Te 0.500 0.500 0.500

Results
- crystal system = orthorhombic
- formation energy from raw total energies (eV per atom) = 0.14

=====

No. 2
Here is Al2CuTe after structural relaxation from Alexandria via LeMat-Bulk. Energies are from GGA-PBE.

a b c (Å): 4.044 3.657 5.669
angles (deg): 90.00 104.20 90.00
Fractional coordinates of all 4 atoms:
Al 0.000 0.000 0.000
Al 0.500 0.500 0.000
Cu 0.000 0.000 0.500
Te 0.500 0.500 0.500

Results
- crystal system = monoclinic
- formation energy from raw total energies (eV per atom) = 0.19

=====

No. 3
Here is AlCuTe after structural relaxation from Alexandria via LeMat-Bulk. Energies are from GGA-PBE.

a b c (Å): 4.515 4.515 4.515
angles (deg): 60.00 60.00 60.00
Fractional coordinates of all 3 atoms:
Al 0.000 0.000 0.000
Cu 0.250 0.250 0.250
Te 0.500 0.500 0.500

Results
- ΔE to the lowest computed polymorph (eV/atom) = 0.069
- crystal system = cubic
- formation energy from raw total energies (eV per atom) = 0.08

=====

No. 4
Here is AlCuTe2 after structural relaxation from Alexandria via LeMat-Bulk. Energies are from GGA-PBE.

a b c (Å): 5.001 3.952 5.017
angles (deg): 90.00 105.04 90.00
Fractional coordinates of all 4 atoms:
Al 0.000 0.000 0.000
Cu 0.500 0.000 0.500
Te 0.268 0.500 0.732
Te 0.732 0.500 0.268

Results
- crystal system = monoclinic
- formation energy from raw total energies (eV per atom) = 0.13

=====

No. 5
Here is AlCuTe after structural relaxation from Alexandria via LeMat-Bulk. Energies are from GGA-PBE.

a b c (Å): 13.756 3.190 3.190
angles (deg): 59.51 90.00 90.00
Fractional coordinates of all 6 atoms:
Al 0.000 0.000 0.000
Al 0.500 0.272 0.272
Cu 0.371 0.941 0.941
Cu 0.629 0.941 0.941
Te 0.201 0.527 0.527
Te 0.799 0.527 0.527

Results
- ΔE to the lowest computed polymorph (eV/atom) = 0.246
- crystal system = orthorhombic
- formation energy from raw total energies (eV per atom) = 0.26

=====

No. 6
Here is AlCuTe2 after structural relaxation from Alexandria via LeMat-Bulk. Energies are from GGA-PBE.

a b c (Å): 6.186 6.186 6.186
angles (deg): 144.42 103.85 86.98
Fractional coordinates of all 4 atoms:
Al 0.000 0.000 0.000
Cu 0.500 0.000 0.500
Te 0.258 0.500 0.758
Te 0.742 0.500 0.242

Results
- crystal system = orthorhombic
- formation energy from raw total energies (eV per atom) = 0.13

=====

No. 7
Here is AlCuTe2 after structural relaxation from Alexandria via LeMat-Bulk. Energies are from GGA-PBE.

a b c (Å): 7.845 7.845 3.804
angles (deg): 90.43 90.43 28.01
Fractional coordinates of all 4 atoms:
Al 0.000 0.000 0.000
Cu 0.380 0.380 0.492
Te 0.558 0.558 0.502
Te 0.827 0.827 0.991

Results
- crystal system = monoclinic
- formation energy from raw total energies (eV per atom) = -0.12

=====

No. 8
Here is AlCuTe3 after structural relaxation from Alexandria via LeMat-Bulk. Energies are from GGA-PBE.

a b c (Å): 5.164 5.164 5.164
angles (deg): 90.00 90.00 90.00
Fractional coordinates of all 5 atoms:
Al 0.000 0.000 0.000
Cu 0.500 0.500 0.500
Te 0.000 0.500 0.500
Te 0.500 0.000 0.500
Te 0.500 0.500 0.000

Results
- ΔE to the lowest computed polymorph (eV/atom) = 0.605
- crystal system = cubic
- formation energy from raw total energies (eV per atom) = 0.43

=====

No. 9
Here is AlCuTe2 after structural relaxation from Alexandria via LeMat-Bulk. Energies are from GGA-PBE.

a b c (Å): 9.730 9.730 9.730
angles (deg): 20.33 20.33 20.33
Fractional coordinates of all 4 atoms:
Al 0.000 0.000 0.000
Cu 0.500 0.500 0.500
Te 0.103 0.103 0.103
Te 0.897 0.897 0.897

Results
- crystal system = trigonal
- formation energy from raw total energies (eV per atom) = 0.28

=====

No. 10
Here is Al2CuTe after structural relaxation from Alexandria via LeMat-Bulk. Energies are from GGA-PBE.

a b c (Å): 7.233 7.233 7.233
angles (deg): 131.18 131.18 71.53
Fractional coordinates of all 8 atoms:
Al 0.068 0.625 0.943
Al 0.375 0.318 0.443
Al 0.682 0.125 0.057
Al 0.875 0.932 0.557
Cu 0.000 0.000 0.000
Cu 0.750 0.250 0.500
Te 0.250 0.750 0.500
Te 0.500 0.500 0.000

Results
- crystal system = tetragonal
- formation energy from raw total energies (eV per atom) = 0.18

=====

No. 11
Here is AlCu2Te2 after structural relaxation from Alexandria via LeMat-Bulk. Energies are from GGA-PBE.

a b c (Å): 7.882 7.882 7.882
angles (deg): 151.83 151.83 40.26
Fractional coordinates of all 5 atoms:
Al 0.000 0.000 0.000
Cu 0.250 0.750 0.500
Cu 0.750 0.250 0.500
Te 0.375 0.375 0.000
Te 0.625 0.625 0.000

Results
- ΔE to the lowest computed polymorph (eV/atom) = 0.000
- crystal system = tetragonal
- formation energy from raw total energies (eV per atom) = 0.07

=====

No. 12
Here is Al2CuTe after structural relaxation from Alexandria via LeMat-Bulk. Energies are from GGA-PBE.

a b c (Å): 4.632 4.632 3.614
angles (deg): 90.00 90.00 90.00
Fractional coordinates of all 4 atoms:
Al 0.000 0.500 0.000
Al 0.500 0.000 0.000
Cu 0.000 0.000 0.500
Te 0.500 0.500 0.500

Results
- crystal system = tetragonal
- formation energy from raw total energies (eV per atom) = 0.28

=====

No. 13
Here is Al2TlCuTe4 after structural relaxation from Alexandria via LeMat-Bulk. Energies are from GGA-PBE.

a b c (Å): 8.139 8.139 8.139
angles (deg): 134.68 134.68 66.03
Fractional coordinates of all 8 atoms:
Al 0.250 0.750 0.500
Al 0.750 0.250 0.500
Tl 0.000 0.000 0.000
Cu 0.500 0.500 0.000
Te 0.147 0.574 0.000
Te 0.426 0.426 0.574
Te 0.574 0.147 0.000
Te 0.853 0.853 0.426

Results
- crystal system = tetragonal
- formation energy from raw total energies (eV per atom) = -0.22

=====

No. 14
Here is Th2Al3Cu4 after structural relaxation from Alexandria via LeMat-Bulk. Energies are from GGA-PBE.

a b c (Å): 8.220 8.220 7.247
angles (deg): 90.00 90.00 138.13
Fractional coordinates of all 18 atoms:
Th 0.107 0.893 0.907
Th 0.393 0.607 0.407
Th 0.607 0.393 0.593
Th 0.893 0.107 0.093
Al 0.000 0.000 0.500
Al 0.019 0.481 0.750
Al 0.481 0.019 0.250
Al 0.500 0.500 0.000
Al 0.519 0.981 0.750
Al 0.981 0.519 0.250
Cu 0.171 0.829 0.506
Cu 0.185 0.315 0.750
Cu 0.315 0.185 0.250
Cu 0.329 0.671 0.006
Cu 0.671 0.329 0.994
Cu 0.685 0.815 0.750
Cu 0.815 0.685 0.250
Cu 0.829 0.171 0.494

Results
- energy of formation (kJ per mole of atoms) = -26.1
- crystal system = orthorhombic

=====

No. 15
Here is Th2AlCu6 after structural relaxation from Alexandria via LeMat-Bulk. Energies are from GGA-PBE.

a b c (Å): 5.539 5.539 5.836
angles (deg): 90.00 90.00 120.00
Fractional coordinates of all 9 atoms:
Th 0.333 0.667 0.158
Th 0.667 0.333 0.842
Al 0.000 0.000 0.000
Cu 0.176 0.352 0.659
Cu 0.176 0.824 0.659
Cu 0.352 0.176 0.341
Cu 0.648 0.824 0.659
Cu 0.824 0.176 0.341
Cu 0.824 0.648 0.341

Results
- energy of formation (kJ per mole of atoms) = -17.6
- crystal system = trigonal

=====

No. 16
Here is ThAlCu2 after structural relaxation from Alexandria via LeMat-Bulk. Energies are from GGA-PBE.

a b c (Å): 3.485 4.829 4.829
angles (deg): 81.59 90.00 90.00
Fractional coordinates of all 4 atoms:
Th 0.000 0.000 0.000
Al 0.500 0.593 0.593
Cu 0.500 0.104 0.488
Cu 0.500 0.488 0.104

Results
- energy of formation (kJ per mole of atoms) = -6.1
- crystal system = orthorhombic

=====

No. 17
Here is ThAl2Cu3 after structural relaxation from Alexandria via LeMat-Bulk. Energies are from GGA-PBE.

a b c (Å): 6.314 6.314 5.228
angles (deg): 90.00 90.00 79.78
Fractional coordinates of all 12 atoms:
Th 0.191 0.809 0.750
Th 0.809 0.191 0.250
Al 0.287 0.287 0.000
Al 0.287 0.287 0.500
Al 0.713 0.713 0.000
Al 0.713 0.713 0.500
Cu 0.043 0.606 0.250
Cu 0.394 0.957 0.250
Cu 0.436 0.564 0.250
Cu 0.564 0.436 0.750
Cu 0.606 0.043 0.750
Cu 0.957 0.394 0.750

Results
- energy of formation (kJ per mole of atoms) = -31.0
- ΔE to the lowest computed polymorph (eV/atom) = 0.000
- crystal system = orthorhombic

=====

No. 18
Here is Th3Al3Cu8 after structural relaxation from Alexandria via LeMat-Bulk. Energies are from GGA-PBE.

a b c (Å): 8.021 8.021 8.855
angles (deg): 120.78 120.78 30.71
Fractional coordinates of all 14 atoms:
Th 0.000 0.000 0.000
Th 0.303 0.303 0.341
Th 0.697 0.697 0.659
Al 0.000 0.000 0.500
Al 0.322 0.322 0.986
Al 0.678 0.678 0.014
Cu 0.114 0.114 0.383
Cu 0.129 0.129 0.835
Cu 0.356 0.356 0.736
Cu 0.490 0.490 0.297
Cu 0.510 0.510 0.703
Cu 0.644 0.644 0.264
Cu 0.871 0.871 0.165
Cu 0.886 0.886 0.617

Results
- energy of formation (kJ per mole of atoms) = -28.1
- crystal system = monoclinic

=====

No. 19
Here is Th2Al5Cu5 after structural relaxation from Alexandria via LeMat-Bulk. Energies are from GGA-PBE.

a b c (Å): 4.143 5.387 9.154
angles (deg): 90.00 90.00 90.00
Fractional coordinates of all 12 atoms:
Th 0.000 0.000 0.000
Th 0.000 0.500 0.500
Al 0.500 0.000 0.500
Al 0.500 0.252 0.241
Al 0.500 0.252 0.759
Al 0.500 0.748 0.241
Al 0.500 0.748 0.759
Cu 0.000 0.000 0.333
Cu 0.000 0.000 0.667
Cu 0.000 0.500 0.162
Cu 0.000 0.500 0.838
Cu 0.500 0.500 0.000

Results
- energy of formation (kJ per mole of atoms) = -40.4
- crystal system = orthorhombic

=====

No. 20
Here is ThAlCu11 after structural relaxation from Alexandria via LeMat-Bulk. Energies are from GGA-PBE.

a b c (Å): 6.439 6.439 6.645
angles (deg): 97.61 97.61 135.60
Fractional coordinates of all 13 atoms:
Th 0.000 0.000 0.000
Al 0.500 0.500 0.500
Cu 0.000 0.000 0.500
Cu 0.000 0.500 0.000
Cu 0.012 0.653 0.647
Cu 0.280 0.504 0.777
Cu 0.347 0.988 0.353
Cu 0.496 0.720 0.223
Cu 0.500 0.000 0.000
Cu 0.504 0.280 0.777
Cu 0.653 0.012 0.647
Cu 0.720 0.496 0.223
Cu 0.988 0.347 0.353

Results
- energy of formation (kJ per mole of atoms) = -11.3
- crystal system = monoclinic

=====

No. 21
Here is Th2Al5Cu3 after structural relaxation from Alexandria via LeMat-Bulk. Energies are from GGA-PBE.

a b c (Å): 4.256 4.256 10.387
angles (deg): 90.00 90.00 90.00
Fractional coordinates of all 10 atoms:
Th 0.000 0.500 0.238
Th 0.500 0.000 0.762
Al 0.000 0.000 0.500
Al 0.000 0.500 0.655
Al 0.500 0.000 0.345
Al 0.500 0.500 0.000
Al 0.500 0.500 0.500
Cu 0.000 0.000 0.000
Cu 0.000 0.500 0.881
Cu 0.500 0.000 0.119

Results
- energy of formation (kJ per mole of atoms) = -31.7
- ΔE to the lowest computed polymorph (eV/atom) = 0.113
- crystal system = tetragonal

=====

No. 22
Here is ThAlCu4 after structural relaxation from Alexandria via LeMat-Bulk. Energies are from GGA-PBE.

a b c (Å): 7.506 7.506 6.400
angles (deg): 90.00 90.00 145.80
Fractional coordinates of all 12 atoms:
Th 0.115 0.885 0.750
Th 0.885 0.115 0.250
Al 0.352 0.648 0.750
Al 0.648 0.352 0.250
Cu 0.079 0.921 0.250
Cu 0.255 0.745 0.072
Cu 0.255 0.745 0.428
Cu 0.500 0.500 0.000
Cu 0.500 0.500 0.500
Cu 0.745 0.255 0.572
Cu 0.745 0.255 0.928
Cu 0.921 0.079 0.750

Results
- energy of formation (kJ per mole of atoms) = -4.9
- crystal system = orthorhombic

=====

No. 23
Here is Th2Al5Cu12 after structural relaxation from Alexandria via LeMat-Bulk. Energies are from GGA-PBE.

a b c (Å): 6.638 6.638 6.638
angles (deg): 82.78 82.78 82.78
Fractional coordinates of all 19 atoms:
Th 0.155 0.155 0.155
Th 0.845 0.845 0.845
Al 0.000 0.500 0.500
Al 0.401 0.401 0.401
Al 0.500 0.000 0.500
Al 0.500 0.500 0.000
Al 0.599 0.599 0.599
Cu 0.154 0.154 0.651
Cu 0.154 0.651 0.154
Cu 0.208 0.500 0.792
Cu 0.208 0.792 0.500
Cu 0.349 0.846 0.846
Cu 0.500 0.208 0.792
Cu 0.500 0.792 0.208
Cu 0.651 0.154 0.154
Cu 0.792 0.208 0.500
Cu 0.792 0.500 0.208
Cu 0.846 0.349 0.846
Cu 0.846 0.846 0.349

Results
- energy of formation (kJ per mole of atoms) = -25.4
- crystal system = trigonal

=====

No. 24
Here is Th2Al6Cu3 after structural relaxation from Alexandria via LeMat-Bulk. Energies are from GGA-PBE.

a b c (Å): 7.667 7.667 4.084
angles (deg): 90.00 90.00 120.00
Fractional coordinates of all 11 atoms:
Th 0.333 0.667 0.000
Th 0.667 0.333 0.000
Al 0.000 0.197 0.000
Al 0.000 0.693 0.500
Al 0.197 0.000 0.000
Al 0.307 0.307 0.500
Al 0.693 0.000 0.500
Al 0.803 0.803 0.000
Cu 0.000 0.368 0.500
Cu 0.368 0.000 0.500
Cu 0.632 0.632 0.500

Results
- energy of formation (kJ per mole of atoms) = -34.9
- crystal system = hexagonal

=====

Number 1: N(E_F) 0.990 states/eV/cell, V 20.43 A^3/atom. Number 2: N(E_F) 1.438 states/eV/cell, V 20.32 A^3/atom. Number 3: N(E_F) 0.244 states/eV/cell, V 21.70 A^3/atom. Number 4: N(E_F) 2.474 states/eV/cell, V 23.94 A^3/atom. Number 5: N(E_F) 2.964 states/eV/cell, V 20.10 A^3/atom. Number 6: N(E_F) 1.275 states/eV/cell, V 32.36 A^3/atom. Number 7: N(E_F) 1.790 states/eV/cell, V 27.49 A^3/atom. Number 8: N(E_F) 5.036 states/eV/cell, V 27.54 A^3/atom. Number 9: N(E_F) 2.087 states/eV/cell, V 24.34 A^3/atom. Number 10: N(E_F) 5.384 states/eV/cell, V 26.22 A^3/atom. Number 11: N(E_F) 1.560 states/eV/cell, V 21.78 A^3/atom. Number 12: N(E_F) 1.348 states/eV/cell, V 19.38 A^3/atom. Number 13: N(E_F) 1.409 states/eV/cell, V 33.55 A^3/atom. Number 14: N(E_F) 10.315 states/eV/cell, V 18.16 A^3/atom. Number 15: N(E_F) 5.469 states/eV/cell, V 17.24 A^3/atom. Number 16: N(E_F) 1.939 states/eV/cell, V 20.10 A^3/atom. Number 17: N(E_F) 4.723 states/eV/cell, V 17.09 A^3/atom. Number 18: N(E_F) 7.362 states/eV/cell, V 17.62 A^3/atom. Number 19: N(E_F) 3.366 states/eV/cell, V 17.02 A^3/atom. Number 20: N(E_F) 5.244 states/eV/cell, V 13.89 A^3/atom. Number 21: N(E_F) 5.064 states/eV/cell, V 18.82 A^3/atom. Number 22: N(E_F) 5.383 states/eV/cell, V 16.89 A^3/atom. Number 23: N(E_F) 6.920 states/eV/cell, V 15.05 A^3/atom. Number 24: N(E_F) 7.576 states/eV/cell, V 18.90 A^3/atom.